Record 1
A relaxed Ac2SmHgSe5 crystal, computed with GGA-PBE.

The calculation puts the total moment at 0.0 μB per formula unit. For the energy relative to the elements, uncorrected, the calculation gives -1.576 eV/atom. The density of states at the Fermi level comes out at 0.2873 states/eV per atom.

```
data_Ac2SmHgSe5
_chemical_formula_sum 'Ac8 Sm4 Hg4 Se20'
_space_group_name_H-M_alt 'C m c 21'
_space_group_IT_number 36
_cell_length_a 4.299
_cell_length_b 18.243
_cell_length_c 13.085
_cell_angle_alpha 90.00
_cell_angle_beta 90.00
_cell_angle_gamma 90.00
loop_
_space_group_symop_operation_xyz
'x,y,z'
'-x,-y,z+1/2'
'-x,y,z'
'x,-y,z+1/2'
'x+1/2,y+1/2,z'
'-x+1/2,-y+1/2,z+1/2'
'-x+1/2,y+1/2,z'
'x+1/2,-y+1/2,z+1/2'
loop_
_atom_site_label
_atom_site_type_symbol
_atom_site_fract_x
_atom_site_fract_y
_atom_site_fract_z
_atom_site_occupancy
Ac1 Ac 0.000 0.120 0.000 1
Ac2 Ac 0.000 0.131 0.622 1
Sm1 Sm 0.000 0.195 0.320 1
Hg1 Hg 0.000 0.459 0.776 1
Se1 Se 0.000 0.043 0.398 1
Se2 Se 0.000 0.293 0.976 1
Se3 Se 0.000 0.307 0.661 1
Se4 Se 0.000 0.355 0.314 1
Se5 Se 0.000 0.497 0.084 1
```

---

Record 2
A relaxed Ac2SnHgSe5 crystal, computed with GGA-PBE.

The calculation puts the total moment at 0.0 μB per formula unit. For the energy relative to the elements, uncorrected, the calculation gives -1.253 eV/atom.

```
data_Ac2SnHgSe5
_chemical_formula_sum 'Ac8 Sn4 Hg4 Se20'
_space_group_name_H-M_alt 'C m c 21'
_space_group_IT_number 36
_cell_length_a 4.379
_cell_length_b 18.377
_cell_length_c 12.940
_cell_angle_alpha 90.00
_cell_angle_beta 90.00
_cell_angle_gamma 90.00
loop_
_space_group_symop_operation_xyz
'x,y,z'
'-x,-y,z+1/2'
'-x,y,z'
'x,-y,z+1/2'
'x+1/2,y+1/2,z'
'-x+1/2,-y+1/2,z+1/2'
'-x+1/2,y+1/2,z'
'x+1/2,-y+1/2,z+1/2'
loop_
_atom_site_label
_atom_site_type_symbol
_atom_site_fract_x
_atom_site_fract_y
_atom_site_fract_z
_atom_site_occupancy
Ac1 Ac 0.000 0.120 0.000 1
Ac2 Ac 0.000 0.132 0.615 1
Sn1 Sn 0.000 0.201 0.316 1
Hg1 Hg 0.000 0.465 0.779 1
Se1 Se 0.000 0.040 0.392 1
Se2 Se 0.000 0.292 0.974 1
Se3 Se 0.000 0.307 0.649 1
Se4 Se 0.000 0.358 0.310 1
Se5 Se 0.000 0.498 0.084 1
```

---

Record 3
A relaxed Ac4HgTeSe2 crystal, computed with GGA-PBE.

The calculation puts the total moment at 0.0 μB per formula unit. For the energy relative to the elements, uncorrected, the calculation gives -1.396 eV/atom. The density of states at the Fermi level comes out at 0.4513 states/eV per atom.

```
data_Ac4HgTeSe2
_chemical_formula_sum 'Ac4 Hg1 Te1 Se2'
_space_group_name_H-M_alt 'P 1 2/m 1'
_space_group_IT_number 10
_cell_length_a 8.033
_cell_length_b 4.502
_cell_length_c 8.094
_cell_angle_alpha 90.00
_cell_angle_beta 108.49
_cell_angle_gamma 90.00
loop_
_space_group_symop_operation_xyz
'x,y,z'
'-x,-y,-z'
'-x,y,-z'
'x,-y,z'
loop_
_atom_site_label
_atom_site_type_symbol
_atom_site_fract_x
_atom_site_fract_y
_atom_site_fract_z
_atom_site_occupancy
Ac1 Ac 0.235 0.000 0.240 1
Ac2 Ac 0.242 0.500 0.752 1
Hg1 Hg 0.500 0.000 0.000 1
Te1 Te 0.500 0.500 0.500 1
Se1 Se 0.000 0.000 0.500 1
Se2 Se 0.000 0.500 0.000 1
```

---

Which of these has the lowest energy relative to the elements, uncorrected? Ac2SmHgSe5